This record from Alexandria via LeMat-Bulk describes a geometry-optimized Ho2TlSn structure. The functional is GGA-PBE.

The total moment comes out at 0.00 Bohr magnetons per cell. The calculation puts the formation energy from the elements at -0.3788 eV/atom.

The structure belongs to space group R-3m (No. 166, hexagonal axes); the cell edges are 3.7727, 3.7727 and 27.9001 Å and the angles 90.00°, 90.00° and 120.00°. The distinct sites, in fractional coordinates, are Ho at (0.0000, 0.0000, 0.2483), Tl at (0.0000, 0.0000, 0.0000) and Sn at (0.0000, 0.0000, 0.5000).